DFT (GGA-PBE) results for crystalline CsBe2GaI6 at its relaxed geometry.

Formation energy (no corrections) = -0.688 eV per atom

```
data_CsBe2GaI6
_cell_length_a 12.073
_cell_length_b 21.446
_cell_length_c 9.447
_cell_angle_alpha 90.00
_cell_angle_beta 117.70
_cell_angle_gamma 90.00
_space_group_name_H-M_alt 'C 1 2/c 1'
_space_group_IT_number 15
loop_
_space_group_symop_operation_xyz
'x,y,z'
'-x,-y,-z'
'-x,y,-z+1/2'
'x,-y,z+1/2'
'x+1/2,y+1/2,z'
'-x+1/2,-y+1/2,-z'
'-x+1/2,y+1/2,-z+1/2'
'x+1/2,-y+1/2,z+1/2'
loop_
_atom_site_label
_atom_site_type_symbol
_atom_site_fract_x
_atom_site_fract_y
_atom_site_fract_z
Cs1 Cs 0.000 0.185 0.250
Be1 Be 0.218 0.372 0.251
Ga1 Ga 0.000 0.491 0.250
I1 I 0.026 0.388 0.027
I2 I 0.191 0.225 0.707
I3 I 0.195 0.047 0.571
```



DFT (GGA-PBE) results for crystalline Cs2BeGaI6 at its relaxed geometry.

Formation energy (no corrections) = -0.757 eV per atom

```
data_Cs2BeGaI6
_cell_length_a 8.111
_cell_length_b 8.111
_cell_length_c 11.708
_cell_angle_alpha 90.00
_cell_angle_beta 90.00
_cell_angle_gamma 90.00
_space_group_name_H-M_alt 'I 4/m m m'
_space_group_IT_number 139
_space_group_name_Hall '-I 4 2'
loop_
_atom_site_label
_atom_site_type_symbol
_atom_site_fract_x
_atom_site_fract_y
_atom_site_fract_z
Cs1 Cs 0.000 0.500 0.250
Be1 Be 0.000 0.000 0.000
Ga1 Ga 0.000 0.000 0.500
I1 I 0.000 0.000 0.249
I2 I 0.235 0.235 0.000
```



DFT (GGA-PBE) results for crystalline CsBe2GaMo at its relaxed geometry.

Calculated formation energy = 1.347 eV/atom

```
data_CsBe2GaMo
_cell_length_a 4.574
_cell_length_b 4.574
_cell_length_c 5.292
_cell_angle_alpha 90.00
_cell_angle_beta 90.00
_cell_angle_gamma 90.00
_space_group_name_H-M_alt 'P 4/m m m'
_space_group_IT_number 123
_space_group_name_Hall '-P 4 2'
loop_
_atom_site_label
_atom_site_type_symbol
_atom_site_fract_x
_atom_site_fract_y
_atom_site_fract_z
Cs1 Cs 0.000 0.000 0.000
Be1 Be 0.000 0.500 0.500
Ga1 Ga 0.500 0.500 0.500
Mo1 Mo 0.500 0.500 0.000
```



DFT (GGA-PBE) results for crystalline Cs2BeGaN at its relaxed geometry.

Formation energy (no corrections) = 0.760 eV per atom

```
data_Cs2BeGaN
_cell_length_a 7.207
_cell_length_b 7.207
_cell_length_c 3.738
_cell_angle_alpha 90.00
_cell_angle_beta 90.00
_cell_angle_gamma 90.00
_space_group_name_H-M_alt 'P 4/m m m'
_space_group_IT_number 123
_space_group_name_Hall '-P 4 2'
loop_
_atom_site_label
_atom_site_type_symbol
_atom_site_fract_x
_atom_site_fract_y
_atom_site_fract_z
Cs1 Cs 0.000 0.500 0.000
Be1 Be 0.000 0.000 0.500
Ga1 Ga 0.500 0.500 0.000
N1 N 0.500 0.500 0.500
```



DFT (GGA-PBE) results for crystalline CsBeGa2Pd at its relaxed geometry.

Calculated formation energy = 0.248 eV/atom

```
data_CsBeGa2Pd
_cell_length_a 4.674
_cell_length_b 4.674
_cell_length_c 5.107
_cell_angle_alpha 90.00
_cell_angle_beta 90.00
_cell_angle_gamma 90.00
_space_group_name_H-M_alt 'P 4/m m m'
_space_group_IT_number 123
_space_group_name_Hall '-P 4 2'
loop_
_atom_site_label
_atom_site_type_symbol
_atom_site_fract_x
_atom_site_fract_y
_atom_site_fract_z
Cs1 Cs 0.000 0.000 0.000
Be1 Be 0.500 0.500 0.500
Ga1 Ga 0.000 0.500 0.500
Pd1 Pd 0.500 0.500 0.000
```



DFT (GGA-PBE) results for crystalline Cs2BeGaRh at its relaxed geometry.

Calculated formation energy = 1.026 eV/atom

```
data_Cs2BeGaRh
_cell_length_a 6.892
_cell_length_b 6.892
_cell_length_c 4.251
_cell_angle_alpha 90.00
_cell_angle_beta 90.00
_cell_angle_gamma 90.00
_space_group_name_H-M_alt 'P 4/m m m'
_space_group_IT_number 123
_space_group_name_Hall '-P 4 2'
loop_
_atom_site_label
_atom_site_type_symbol
_atom_site_fract_x
_atom_site_fract_y
_atom_site_fract_z
Cs1 Cs 0.000 0.500 0.000
Be1 Be 0.000 0.000 0.500
Ga1 Ga 0.000 0.000 0.000
Rh1 Rh 0.500 0.500 0.500
```



DFT (GGA-PBE) results for crystalline CsBeGaSe2 at its relaxed geometry.

Formation energy (no corrections) = 1.364 eV per atom

```
data_CsBeGaSe2
_cell_length_a 6.209
_cell_length_b 6.209
_cell_length_c 6.604
_cell_angle_alpha 90.00
_cell_angle_beta 90.00
_cell_angle_gamma 90.00
_space_group_name_H-M_alt 'P 4/m m m'
_space_group_IT_number 123
_space_group_name_Hall '-P 4 2'
loop_
_atom_site_label
_atom_site_type_symbol
_atom_site_fract_x
_atom_site_fract_y
_atom_site_fract_z
Cs1 Cs 0.000 0.000 0.000
Be1 Be 0.500 0.500 0.500
Ga1 Ga 0.000 0.000 0.500
Se1 Se 0.000 0.500 0.000
```



DFT (GGA-PBE) results for crystalline CsYBeGa2 at its relaxed geometry.

Calculated formation energy = 1.840 eV/atom

```
data_CsYBeGa2
_cell_length_a 5.681
_cell_length_b 5.681
_cell_length_c 5.881
_cell_angle_alpha 90.00
_cell_angle_beta 90.00
_cell_angle_gamma 90.00
_space_group_name_H-M_alt 'P 4/m m m'
_space_group_IT_number 123
_space_group_name_Hall '-P 4 2'
loop_
_atom_site_label
_atom_site_type_symbol
_atom_site_fract_x
_atom_site_fract_y
_atom_site_fract_z
Cs1 Cs 0.000 0.000 0.000
Y1 Y 0.000 0.000 0.500
Be1 Be 0.500 0.500 0.500
Ga1 Ga 0.000 0.500 0.000
```



DFT (GGA-PBE) results for crystalline Cs3BeGe at its relaxed geometry.

Calculated formation energy = 0.805 eV/atom

```
data_Cs3BeGe
_cell_length_a 6.762
_cell_length_b 6.762
_cell_length_c 6.762
_cell_angle_alpha 90.00
_cell_angle_beta 90.00
_cell_angle_gamma 90.00
_space_group_name_H-M_alt 'P m -3 m'
_space_group_IT_number 221
_space_group_name_Hall '-P 4 2 3'
loop_
_atom_site_label
_atom_site_type_symbol
_atom_site_fract_x
_atom_site_fract_y
_atom_site_fract_z
Cs1 Cs 0.000 0.000 0.500
Be1 Be 0.000 0.000 0.000
Ge1 Ge 0.500 0.500 0.500
```



DFT (GGA-PBE) results for crystalline CsBe2Ge2 at its relaxed geometry.

Calculated formation energy = 0.219 eV/atom

```
data_CsBe2Ge2
_cell_length_a 3.963
_cell_length_b 3.963
_cell_length_c 14.623
_cell_angle_alpha 90.00
_cell_angle_beta 90.00
_cell_angle_gamma 90.00
_space_group_name_H-M_alt 'I 4/m m m'
_space_group_IT_number 139
_space_group_name_Hall '-I 4 2'
loop_
_atom_site_label
_atom_site_type_symbol
_atom_site_fract_x
_atom_site_fract_y
_atom_site_fract_z
Cs1 Cs 0.000 0.000 0.000
Be1 Be 0.000 0.500 0.250
Ge1 Ge 0.000 0.000 0.333
```



DFT (GGA-PBE) results for crystalline CsBeGe at its relaxed geometry.

Calculated formation energy = 0.117 eV/atom

```
data_CsBeGe
_cell_length_a 14.382
_cell_length_b 3.843
_cell_length_c 8.823
_cell_angle_alpha 90.00
_cell_angle_beta 127.35
_cell_angle_gamma 90.00
_space_group_name_H-M_alt 'C 1 2/m 1'
_space_group_IT_number 12
loop_
_space_group_symop_operation_xyz
'x,y,z'
'-x,-y,-z'
'-x,y,-z'
'x,-y,z'
'x+1/2,y+1/2,z'
'-x+1/2,-y+1/2,-z'
'-x+1/2,y+1/2,-z'
'x+1/2,-y+1/2,z'
loop_
_atom_site_label
_atom_site_type_symbol
_atom_site_fract_x
_atom_site_fract_y
_atom_site_fract_z
Cs1 Cs 0.064 0.000 0.314
Be1 Be 0.246 0.000 0.943
Ge1 Ge 0.203 0.500 0.758
```



DFT (GGA-PBE) results for crystalline CsBeGe2I at its relaxed geometry.

Formation energy (no corrections) = 1.751 eV per atom

```
data_CsBeGe2I
_cell_length_a 6.326
_cell_length_b 6.326
_cell_length_c 6.310
_cell_angle_alpha 90.00
_cell_angle_beta 90.00
_cell_angle_gamma 90.00
_space_group_name_H-M_alt 'P 4/m m m'
_space_group_IT_number 123
_space_group_name_Hall '-P 4 2'
loop_
_atom_site_label
_atom_site_type_symbol
_atom_site_fract_x
_atom_site_fract_y
_atom_site_fract_z
Cs1 Cs 0.000 0.000 0.000
Be1 Be 0.000 0.000 0.500
Ge1 Ge 0.000 0.500 0.000
I1 I 0.500 0.500 0.500
```